No. 1
Na2Ca2B | PBE-GGA | optimized geometry

Its total energy is -2.150 eV per atom. The value obtained for the density of states at the Fermi level is 0.116 states/eV per atom. The spin magnetization is 2.0 μB per cell.

Structure (POSCAR):
```
Na2Ca2B
1.0
-3.7321 -5.4453 -2.9404
6.0856 -2.6060 -2.8982
0.9967 -3.5244 5.2618
Na Ca B
4 4 2
Direct
0.1695 0.6695 0.5000
0.6695 0.8305 0.5000
0.8305 0.3305 0.5000
0.3305 0.1695 0.5000
0.3165 0.8165 0.0000
0.8165 0.6835 0.0000
0.6835 0.1835 0.0000
0.1835 0.3165 0.0000
0.0000 0.0000 0.0000
0.5000 0.5000 0.0000
```


No. 2
NaCaB2 | PBE-GGA | optimized geometry

Its total energy is -3.061 eV per atom. The value obtained for the density of states at the Fermi level is 0.537 states/eV per atom. The spin magnetization is 0.0 μB per cell.

Structure (POSCAR):
```
NaCaB2
1.0
-2.8327 0.7714 3.4111
-4.0238 1.8539 -0.7918
-3.7382 -2.4701 0.4232
Na Ca B
1 1 2
Direct
0.0000 0.0000 0.0000
0.5000 0.5000 0.5000
0.2500 0.2500 0.2500
0.7500 0.7500 0.7500
```


No. 3
NaCaB | PBE-GGA | optimized geometry

Its total energy is -3.145 eV per atom. The value obtained for the density of states at the Fermi level is 0.309 states/eV per atom. The spin magnetization is 0.0 μB per cell.

Structure (POSCAR):
```
NaCaB
1.0
9.2374 0.0000 -0.0031
0.0000 4.1524 0.0000
-1.2490 0.0000 8.5936
Na Ca B
4 4 4
Direct
0.1188 0.0000 0.3719
0.8812 0.0000 0.6281
0.1188 0.5000 0.8719
0.8812 0.5000 0.1281
0.6288 0.0000 0.8810
0.3712 0.0000 0.1190
0.6288 0.5000 0.3810
0.3712 0.5000 0.6190
0.4302 0.0000 0.4394
0.5698 0.0000 0.5606
0.4302 0.5000 0.9394
0.5698 0.5000 0.0606
```


No. 4
Na2Ca2B | PBE-GGA | optimized geometry

Its total energy is -2.081 eV per atom. The value obtained for the density of states at the Fermi level is 0.740 states/eV per atom. The spin magnetization is 0.0 μB per cell.

Structure (POSCAR):
```
Na2Ca2B
1.0
3.7439 0.0000 0.0000
0.0000 3.7439 0.0000
1.8719 1.8719 9.8383
Na Ca B
2 2 1
Direct
0.7500 0.2500 0.5000
0.2500 0.7500 0.5000
0.4232 0.4232 0.1535
0.5768 0.5768 0.8465
0.0000 0.0000 0.0000
```


No. 5
NaCaB | PBE-GGA | optimized geometry

Its total energy is -3.276 eV per atom. The value obtained for the density of states at the Fermi level is 0.509 states/eV per atom. The spin magnetization is 0.0 μB per cell.

Structure (POSCAR):
```
NaCaB
1.0
5.1256 0.0000 0.0000
0.0000 3.2530 0.0000
0.0000 0.0000 17.9481
Na Ca B
4 4 4
Direct
0.0000 0.0000 0.5492
0.0000 0.5000 0.0492
0.5000 0.0000 0.1488
0.5000 0.5000 0.6488
0.0000 0.0000 0.7701
0.0000 0.5000 0.2701
0.5000 0.0000 0.4130
0.5000 0.5000 0.9130
0.0000 0.0000 0.9138
0.0000 0.5000 0.4138
0.0000 0.0000 0.3982
0.0000 0.5000 0.8982
```


No. 6
NaCaB | PBE-GGA | optimized geometry

Its total energy is -3.403 eV per atom. The value obtained for the density of states at the Fermi level is 0.374 states/eV per atom. The spin magnetization is 0.0 μB per cell.

Structure (POSCAR):
```
NaCaB
1.0
3.7188 0.0000 0.0000
0.0000 24.4945 0.0000
0.0000 0.0000 3.2317
Na Ca B
4 4 4
Direct
0.0000 0.1914 0.2500
0.0000 0.8086 0.7500
0.5000 0.6914 0.2500
0.5000 0.3086 0.7500
0.0000 0.4314 0.2500
0.0000 0.5686 0.7500
0.5000 0.9314 0.2500
0.5000 0.0686 0.7500
0.0000 0.0083 0.2500
0.0000 0.9917 0.7500
0.5000 0.5083 0.2500
0.5000 0.4917 0.7500
```


No. 7
NaCaB | PBE-GGA | optimized geometry

Its total energy is -3.364 eV per atom. The value obtained for the density of states at the Fermi level is 0.532 states/eV per atom. The spin magnetization is 0.0 μB per cell.

Structure (POSCAR):
```
NaCaB
1.0
3.2154 -0.0037 0.0010
-1.5106 3.7345 -0.0008
-0.8573 -1.8378 12.8979
Na Ca B
2 2 2
Direct
0.6156 0.7129 0.8889
0.0557 0.0762 0.6492
0.5126 0.4333 0.4020
0.3739 0.3021 0.1359
0.1727 0.8242 0.2690
0.7140 0.9113 0.2690
```


No. 8
NaCaB | PBE-GGA | optimized geometry

Its total energy is -3.124 eV per atom. The value obtained for the density of states at the Fermi level is 0.263 states/eV per atom. The spin magnetization is 0.0 μB per cell.

Structure (POSCAR):
```
NaCaB
1.0
8.1561 0.0000 0.0043
0.0000 5.9748 0.0000
-3.1250 0.0000 6.8803
Na Ca B
4 4 4
Direct
0.1402 0.0000 0.2532
0.8598 0.0000 0.7468
0.1402 0.5000 0.7532
0.8598 0.5000 0.2468
0.6309 0.0000 0.2394
0.3691 0.0000 0.7606
0.6309 0.5000 0.7394
0.3691 0.5000 0.2606
0.5000 0.1293 0.5000
0.5000 0.8707 0.5000
0.5000 0.6293 0.0000
0.5000 0.3707 0.0000
```


No. 9
NaCa3B | PBE-GGA | optimized geometry

Its total energy is -2.596 eV per atom. The value obtained for the density of states at the Fermi level is 0.474 states/eV per atom. The spin magnetization is 0.0 μB per cell.

Structure (POSCAR):
```
NaCa3B
1.0
5.4495 0.0000 0.0000
0.0000 5.4495 0.0000
0.0000 0.0000 5.4495
Na Ca B
1 3 1
Direct
0.5000 0.5000 0.5000
0.0000 0.5000 0.0000
0.0000 0.0000 0.5000
0.5000 0.0000 0.0000
0.0000 0.0000 0.0000
```


No. 10
NaCa3B | PBE-GGA | optimized geometry

Its total energy is -1.412 eV per atom. The value obtained for the density of states at the Fermi level is 0.907 states/eV per atom. The spin magnetization is 0.7 μB per cell.

Structure (POSCAR):
```
NaCa3B
1.0
5.8333 0.0000 0.0000
0.0000 5.8333 0.0000
0.0000 0.0000 5.8333
Na Ca B
1 3 1
Direct
0.0000 0.0000 0.0000
0.0000 0.5000 0.0000
0.0000 0.0000 0.5000
0.5000 0.0000 0.0000
0.5000 0.5000 0.5000
```


No. 11
NaCaB | PBE-GGA | optimized geometry

Its total energy is -3.141 eV per atom. The value obtained for the density of states at the Fermi level is 0.346 states/eV per atom. The spin magnetization is 0.0 μB per cell.

Structure (POSCAR):
```
NaCaB
1.0
-3.5485 -6.4889 -6.7829
0.6055 -3.1144 2.6627
-6.2927 3.1047 5.0623
Na Ca B
4 4 4
Direct
0.6220 0.0000 0.4062
0.3780 0.0000 0.5938
0.6220 0.5000 0.9062
0.3780 0.5000 0.0938
0.1266 0.0000 0.1935
0.8734 0.0000 0.8065
0.1266 0.5000 0.6935
0.8734 0.5000 0.3065
0.9311 0.0000 0.5197
0.0689 0.0000 0.4803
0.9311 0.5000 0.0197
0.0689 0.5000 0.9803
```


No. 12
NaCaB | PBE-GGA | optimized geometry

Its total energy is -2.641 eV per atom. The value obtained for the density of states at the Fermi level is 0.461 states/eV per atom. The spin magnetization is 0.0 μB per cell.

Structure (POSCAR):
```
NaCaB
1.0
3.3537 0.0000 0.0000
0.0000 3.3537 0.0000
0.0000 0.0000 12.9613
Na Ca B
2 2 2
Direct
0.0000 0.0000 0.3346
0.5000 0.5000 0.8346
0.0000 0.0000 0.0964
0.5000 0.5000 0.5964
0.0000 0.0000 0.6935
0.5000 0.5000 0.1935
```